DFT (GGA-PBEsol) results for Ba2GeSBr after structural relaxation.

Values from the calculation:
Its total energy is -18.18 eV/cell. The space group is P4/mmm (123). As for the formation energy without anion corrections: -0.54 eV per atom. The value obtained for the calculated volume is 182 Å³ per cell.

a = 6.0938 Å, b = 6.0938 Å, c = 4.9002 Å
α = 90.00°, β = 90.00°, γ = 90.00°
Fractional coordinates of all 5 atoms:
Ba1 0.0000 0.5000 0.0000
Ba2 0.5000 0.0000 0.0000
Ge1 0.0000 0.0000 0.5000
S1 0.5000 0.5000 0.5000
Br1 0.0000 0.0000 0.0000


DFT (GGA-PBEsol) results for Ba4SnGe2S8Br2 after structural relaxation.

Values from the calculation:
Its total energy is -170.05 eV/cell. The space group is Pmn2_1 (31). As for the formation energy without anion corrections: -1.38 eV per atom. The value obtained for the calculated volume is 949 Å³ per cell.

a = 9.1350 Å, b = 11.8769 Å, c = 8.7507 Å
α = 90.00°, β = 90.00°, γ = 90.00°
Fractional coordinates of all 34 atoms:
Ba1 0.2422 0.0784 0.0000
Ba2 0.2436 0.5762 0.7044
Ba3 0.2564 0.4238 0.2044
Ba4 0.2578 0.9216 0.5000
Ba5 0.7422 0.9216 0.5000
Ba6 0.7436 0.4238 0.2044
Ba7 0.7564 0.5762 0.7044
Ba8 0.7578 0.0784 0.0000
Sn1 0.0000 0.7276 0.1415
Sn2 0.5000 0.2724 0.6415
Ge1 0.0000 0.3398 0.9074
Ge2 0.0000 0.8497 0.8047
Ge3 0.5000 0.1503 0.3047
Ge4 0.5000 0.6602 0.4074
S1 0.0000 0.0297 0.7394
S2 0.0000 0.2462 0.1280
S3 0.0000 0.5292 0.9711
S4 0.0000 0.7524 0.5906
S5 0.1964 0.8053 0.9414
S6 0.2220 0.3162 0.8159
S7 0.2780 0.6838 0.3159
S8 0.3036 0.1947 0.4414
S9 0.5000 0.2476 0.0906
S10 0.5000 0.4708 0.4711
S11 0.5000 0.7538 0.6280
S12 0.5000 0.9703 0.2394
S13 0.6964 0.1947 0.4414
S14 0.7220 0.6838 0.3159
S15 0.7780 0.3162 0.8159
S16 0.8036 0.8053 0.9414
Br1 0.0000 0.4561 0.4689
Br2 0.0000 0.9720 0.2498
Br3 0.5000 0.0280 0.7498
Br4 0.5000 0.5439 0.9689


DFT (GGA-PBEsol) results for Ba2GeSeBr after structural relaxation.

Values from the calculation:
Its total energy is -18.65 eV/cell. The space group is P4/mmm (123). As for the formation energy without anion corrections: -0.74 eV per atom. The value obtained for the calculated volume is 192 Å³ per cell.

a = 6.1711 Å, b = 6.1711 Å, c = 5.0416 Å
α = 90.00°, β = 90.00°, γ = 90.00°
Fractional coordinates of all 5 atoms:
Ba1 0.0000 0.5000 0.0000
Ba2 0.5000 0.0000 0.0000
Ge1 0.0000 0.0000 0.0000
Se1 0.5000 0.5000 0.5000
Br1 0.0000 0.0000 0.5000


DFT (GGA-PBEsol) results for Ba2H2Br after structural relaxation.

Values from the calculation:
Its total energy is -17.43 eV/cell. The space group is I4/mmm (139). The value obtained for the calculated volume is 122 Å³ per cell.

a = 7.7297 Å, b = 7.7297 Å, c = 7.7297 Å
α = 149.04°, β = 149.04°, γ = 44.36°
Fractional coordinates of all 5 atoms:
Ba1 0.1460 0.1460 0.0000
Ba2 0.8540 0.8540 0.0000
H1 0.2500 0.7500 0.5000
H2 0.7500 0.2500 0.5000
Br1 0.5000 0.5000 0.0000


DFT (GGA-PBEsol) results for BaHBr2 after structural relaxation.

Values from the calculation:
Its total energy is -31.53 eV/cell. The space group is P2/m (10). The value obtained for the calculated volume is 223 Å³ per cell.

a = 5.3782 Å, b = 5.4343 Å, c = 7.6353 Å
α = 90.00°, β = 90.86°, γ = 90.00°
Fractional coordinates of all 8 atoms:
Ba1 0.0000 0.0000 0.0000
Ba2 0.5000 0.5000 0.5000
H1 0.0570 0.0000 0.5307
H2 0.9430 0.0000 0.4693
Br1 0.0019 0.5000 0.7533
Br2 0.4954 0.0000 0.7501
Br3 0.5046 0.0000 0.2499
Br4 0.9981 0.5000 0.2467


DFT (GGA-PBEsol) results for BaH2BrN after structural relaxation.

Values from the calculation:
Its total energy is -14.62 eV/cell. The space group is P4/mmm (123). The value obtained for the calculated volume is 154 Å³ per cell.

a = 4.9880 Å, b = 4.9880 Å, c = 6.1829 Å
α = 90.00°, β = 90.00°, γ = 90.00°
Fractional coordinates of all 5 atoms:
Ba1 0.0000 0.0000 0.0000
H1 0.0000 0.5000 0.0000
H2 0.5000 0.0000 0.0000
Br1 0.0000 0.0000 0.5000
N1 0.5000 0.5000 0.5000


DFT (GGA-PBEsol) results for BaHfIBr2 after structural relaxation.

Values from the calculation:
Its total energy is -15.11 eV/cell. The space group is P4/mmm (123). As for the formation energy without anion corrections: 0.61 eV per atom. The value obtained for the calculated volume is 239 Å³ per cell.

a = 6.1940 Å, b = 6.1940 Å, c = 6.2251 Å
α = 90.00°, β = 90.00°, γ = 90.00°
Fractional coordinates of all 5 atoms:
Ba1 0.0000 0.0000 0.0000
Hf1 0.5000 0.5000 0.0000
I1 0.0000 0.0000 0.5000
Br1 0.0000 0.5000 0.5000
Br2 0.5000 0.0000 0.5000


DFT (GGA-PBEsol) results for Ba3HgBr after structural relaxation.

Values from the calculation:
Its total energy is -11.49 eV/cell. The space group is Pm-3m (221). As for the formation energy without anion corrections: -0.52 eV per atom. The value obtained for the calculated volume is 228 Å³ per cell.

a = 6.1121 Å, b = 6.1121 Å, c = 6.1121 Å
α = 90.00°, β = 90.00°, γ = 90.00°
Fractional coordinates of all 5 atoms:
Ba1 0.0000 0.0000 0.5000
Ba2 0.0000 0.5000 0.0000
Ba3 0.5000 0.0000 0.0000
Hg1 0.5000 0.5000 0.5000
Br1 0.0000 0.0000 0.0000


DFT (GGA-PBEsol) results for BaHgBr2 after structural relaxation.

Values from the calculation:
Its total energy is -12.32 eV/cell. The calculation puts the energy relative to the lowest polymorph listed for this composition at 53.4 meV per atom. The space group is R-3m (166). As for the formation energy without anion corrections: -1.47 eV per atom. The value obtained for the calculated volume is 165 Å³ per cell.

a = 8.2156 Å, b = 8.2156 Å, c = 8.2156 Å
α = 35.24°, β = 35.24°, γ = 35.24°
Fractional coordinates of all 4 atoms:
Ba1 0.0000 0.0000 0.0000
Hg1 0.5000 0.5000 0.5000
Br1 0.2705 0.2705 0.2705
Br2 0.7295 0.7295 0.7295


DFT (GGA-PBEsol) results for BaHgBr3 after structural relaxation.

Values from the calculation:
Its total energy is -13.56 eV/cell. The space group is Pm-3m (221). As for the formation energy without anion corrections: -1.05 eV per atom. The value obtained for the calculated volume is 175 Å³ per cell.

a = 5.5977 Å, b = 5.5977 Å, c = 5.5977 Å
α = 90.00°, β = 90.00°, γ = 90.00°
Fractional coordinates of all 5 atoms:
Ba1 0.0000 0.0000 0.0000
Hg1 0.5000 0.5000 0.5000
Br1 0.0000 0.5000 0.5000
Br2 0.5000 0.0000 0.5000
Br3 0.5000 0.5000 0.0000


DFT (GGA-PBEsol) results for BaHgBr2 after structural relaxation.

Values from the calculation:
Its total energy is -12.12 eV/cell. The calculation puts the energy relative to the lowest polymorph listed for this composition at 101.5 meV per atom. The space group is I-4m2 (119). As for the formation energy without anion corrections: -1.42 eV per atom. The value obtained for the calculated volume is 120 Å³ per cell.

a = 6.2579 Å, b = 6.2579 Å, c = 6.2579 Å
α = 135.11°, β = 135.11°, γ = 65.36°
Fractional coordinates of all 4 atoms:
Ba1 0.0000 0.0000 0.0000
Hg1 0.2500 0.7500 0.5000
Br1 0.5000 0.5000 0.0000
Br2 0.7500 0.2500 0.5000


DFT (GGA-PBEsol) results for BaHgBr2 after structural relaxation.

Values from the calculation:
Its total energy is -23.77 eV/cell. The calculation puts the energy relative to the lowest polymorph listed for this composition at 160.7 meV per atom. The space group is I-42d (122). As for the formation energy without anion corrections: -1.36 eV per atom. The value obtained for the calculated volume is 306 Å³ per cell.

a = 7.3998 Å, b = 7.3998 Å, c = 7.3998 Å
α = 105.20°, β = 105.20°, γ = 118.39°
Fractional coordinates of all 8 atoms:
Ba1 0.0000 0.0000 0.0000
Ba2 0.7500 0.2500 0.5000
Hg1 0.2500 0.7500 0.5000
Hg2 0.5000 0.5000 0.0000
Br1 0.0897 0.6250 0.9647
Br2 0.3750 0.3397 0.4647
Br3 0.6603 0.1250 0.0353
Br4 0.8750 0.9103 0.5353